Record 1
Crystalline CaGeTe2 at its relaxed geometry. Source: Alexandria, functional PBE.

## Properties
- Mass density: 3701 kg/m³
- Magnetization: 0.0000 μB per atom
- Energy relative to the elements, uncorrected: -0.59 eV per atom

abc: 6.7925 6.7925 8.6177
angles: 66.79 66.79 90.00
Element x y z (fractional)
1 Ge 0.0000 0.0000 0.0000
2 Ge 0.7500 0.2500 0.5000
3 Te 0.6476 0.1250 0.2500
4 Te 0.1024 0.6250 0.2500
5 Te 0.3750 0.3524 0.7500
6 Te 0.8750 0.8976 0.7500
7 Ca 0.5000 0.5000 0.0000
8 Ca 0.2500 0.7500 0.5000

=====

Record 2
Crystalline Ca2Ge2Te at its relaxed geometry. Source: Alexandria, functional PBE.

## Properties
- ΔE to the lowest computed polymorph: 0.000 eV per atom
- Mass density: 4473 kg/m³
- Magnetization: 0.0000 μB per atom
- Energy relative to the elements, uncorrected: -0.76 eV per atom

abc: 3.9009 3.9009 9.0438
angles: 77.55 77.55 90.00
Element x y z (fractional)
1 Ge 0.7500 0.2500 0.5000
2 Ge 0.2500 0.7500 0.5000
3 Te 0.0000 0.0000 0.0000
4 Ca 0.3946 0.3946 0.2108
5 Ca 0.6054 0.6054 0.7892

=====

Record 3
Crystalline CaTl2GeTe4 at its relaxed geometry. Source: Alexandria, functional PBE.

## Properties
- Mass density: 6629 kg/m³
- Magnetization: 0.0000 μB per atom
- Energy relative to the elements, uncorrected: -0.45 eV per atom

abc: 8.9995 8.9995 9.0259
angles: 120.09 120.09 89.67
Element x y z (fractional)
1 Ca 0.0000 0.5000 0.0000
2 Ca 0.0000 0.5000 0.5000
3 Tl 0.5000 0.0000 0.0000
4 Tl 0.5000 0.0000 0.5000
5 Tl 0.0000 0.0000 0.5000
6 Tl 0.5000 0.5000 0.0000
7 Ge 0.5000 0.5000 0.5000
8 Ge 0.0000 0.0000 0.0000
9 Te 0.2281 0.7570 0.9926
10 Te 0.7430 0.2719 0.5074
11 Te 0.2570 0.7281 0.4926
12 Te 0.7719 0.2430 0.0074
13 Te 0.7531 0.7469 0.9736
14 Te 0.7531 0.7469 0.5264
15 Te 0.2469 0.2531 0.4736
16 Te 0.2469 0.2531 0.0264